Record 1
An optimized crystal structure of ZnTeW, computed with PBE-GGA.

- Total DFT energy (no corrections): -4.73 eV per atom

Cell lengths 4.478, 4.478, 4.478 Å; angles 60.00, 60.00, 60.00 degrees
Atoms (fractional coordinates):
Te1 0.000 0.000 0.000
W1 0.250 0.250 0.250
Zn1 0.750 0.750 0.750



Record 2
An optimized crystal structure of HoSnGe, computed with PBE-GGA.

- Total DFT energy (no corrections): -4.60 eV per atom

Cell lengths 4.862, 4.862, 4.862 Å; angles 60.00, 60.00, 60.00 degrees
Atoms (fractional coordinates):
Ge1 0.000 0.000 0.000
Sn1 0.750 0.750 0.750
Ho1 0.250 0.250 0.250



Record 3
An optimized crystal structure of PrCuB4, computed with PBE-GGA.

- Total DFT energy (no corrections): -5.81 eV per atom

Cell lengths 3.233, 3.233, 6.913 Å; angles 90.00, 90.00, 120.00 degrees
Atoms (fractional coordinates):
Cu1 0.000 0.000 0.000
B1 0.333 0.667 0.798
B2 0.667 0.333 0.798
B3 0.667 0.333 0.202
B4 0.333 0.667 0.202
Pr1 0.000 0.000 0.500



Record 4
An optimized crystal structure of Cs2Nb2Pd3, computed with PBE-GGA.

- Total DFT energy (no corrections): -5.11 eV per atom

Cell lengths 12.057, 12.057, 12.057 Å; angles 21.48, 21.48, 21.48 degrees
Atoms (fractional coordinates):
Pd1 0.308 0.308 0.308
Pd2 0.671 0.671 0.671
Pd3 0.900 0.900 0.900
Cs1 0.176 0.176 0.176
Cs2 0.750 0.750 0.750
Nb1 0.974 0.974 0.974
Nb2 0.596 0.596 0.596